Compound: InFeRh2
Source: Alexandria
Functional: PBE
Structure: optimized geometry

Lattice parameters (Å, degrees): 3.2242 4.3643 4.3643 90.00 90.00 90.00
Last column: magnetic moment on the atom in μB.
Fractional positions:
Fe1 0.5000 0.5000 0.0000  3.26
In1 0.5000 0.0000 0.5000  -0.03
Rh1 0.0000 0.5000 0.5000  0.50
Rh2 0.0000 0.0000 0.0000  0.50

Calculated values
space-group type	P4/mmm (123)
calculated formation energy	-181	meV/atom
volume	15.4	Å³/atom
E	-26.6	eV for the cell shown